# Rb2UBe2S6

Rb2UBe2S6 after structural relaxation (GGA-PBE, Alexandria via LeMat-Bulk). Values from VASP.

## Properties
* crystal system: trigonal
* ρ: 3.53 Mg/m³
* ΔE_f (raw): -1066 meV/atom
* N(E_F): 0.11 states/eV per atom

Structure (Quantum ESPRESSO input):
```
&SYSTEM
  ibrav = 0, nat = 11, ntyp = 4
/
ATOMIC_SPECIES
Rb 85.47 Rb.upf
U 238.03 U.upf
Be 9.01 Be.upf
S 32.06 S.upf
CELL_PARAMETERS angstrom
7.0194 0.0000 0.0000
3.5097 6.0790 0.0000
3.5097 2.0263 6.8370
ATOMIC_POSITIONS angstrom
Rb 10.5291 6.0790 4.5676
Rb 3.5097 2.0263 2.2694
U 0.0000 0.0000 0.0000
Be 7.0194 4.0526 5.3839
Be 7.0194 4.0526 1.4531
S 8.7501 5.0519 1.5310
S 5.2886 5.0519 1.5310
S 7.0194 2.0542 1.5310
S 7.0194 6.0511 5.3061
S 8.7501 3.0534 5.3061
S 5.2886 3.0534 5.3061
```

---

# Rb2ZrBeS

Rb2ZrBeS after structural relaxation (GGA-PBE, Alexandria via LeMat-Bulk). Values from VASP.

## Properties
* crystal system: tetragonal
* ρ: 2.91 Mg/m³
* ΔE_f (raw): 860 meV/atom
* N(E_F): 1.08 states/eV per atom

Structure (Quantum ESPRESSO input):
```
&SYSTEM
  ibrav = 0, nat = 5, ntyp = 4
/
ATOMIC_SPECIES
Be 9.01 Be.upf
S 32.06 S.upf
Rb 85.47 Rb.upf
Zr 91.22 Zr.upf
CELL_PARAMETERS angstrom
-0.4559 5.6025 -1.5301
-4.6152 0.2096 2.1428
2.4203 1.5784 5.0585
ATOMIC_POSITIONS angstrom
Be 0.0000 0.0000 0.0000
S -1.3254 3.6953 2.8356
Rb 1.2101 0.7892 2.5292
Rb -0.2280 2.8013 -0.7650
Zr -2.3076 0.1048 1.0714
```

---

# RbBeSb

RbBeSb after structural relaxation (GGA-PBE, Alexandria via LeMat-Bulk). Values from VASP.

## Properties
* crystal system: hexagonal
* ρ: 3.95 Mg/m³
* offset from the most stable computed form: 0.000 eV/atom
* ΔE_f (raw): -196 meV/atom

Structure (Quantum ESPRESSO input):
```
&SYSTEM
  ibrav = 0, nat = 3, ntyp = 3
/
ATOMIC_SPECIES
Sb 121.76 Sb.upf
Rb 85.47 Rb.upf
Be 9.01 Be.upf
CELL_PARAMETERS angstrom
5.7919 0.0000 0.0000
0.0000 4.2545 0.0000
0.0000 -2.1273 3.6845
ATOMIC_POSITIONS angstrom
Sb 0.9657 0.0000 0.0000
Rb 3.8606 2.1273 1.2282
Be 0.9657 0.0000 2.4564
```

---

# RbBe2Sb2

RbBe2Sb2 after structural relaxation (GGA-PBE, Alexandria via LeMat-Bulk). Values from VASP.

## Properties
* crystal system: tetragonal
* ρ: 4.54 Mg/m³
* ΔE_f (raw): -103 meV/atom
* N(E_F): 0.16 states/eV per atom

Structure (Quantum ESPRESSO input):
```
&SYSTEM
  ibrav = 0, nat = 5, ntyp = 3
/
ATOMIC_SPECIES
Sb 121.76 Sb.upf
Rb 85.47 Rb.upf
Be 9.01 Be.upf
CELL_PARAMETERS angstrom
-1.6966 0.1881 -3.4828
-2.5962 -2.6545 1.1213
-7.2074 4.8982 1.6158
ATOMIC_POSITIONS angstrom
Sb -3.7116 0.6630 -0.3159
Sb -7.7887 1.7688 -0.4298
Rb 0.0000 0.0000 0.0000
Be -5.5252 1.9266 -1.5239
Be -5.9750 0.5053 0.7782
```